Entry 1:
Below is crystalline Na3YHg4 at its relaxed geometry, with properties calculated at the PBE level.

Its energy relative to the elements is -285 meV/atom. Its total DFT energy (no corrections) is -13.91 eV/cell. The calculation puts the density of states at the Fermi level at 5.0 states/eV per cell.

The space group is P4/mmm (No. 123) and the conventional cell measures 3.7306, 3.7306 and 14.8682 Å, with angles of 90.00, 90.00 and 90.00 degrees. Symmetry generates all atoms from Na at (0.0000, 0.0000, 0.0000), Na at (0.0000, 0.0000, 0.2508), Y at (0.0000, 0.0000, 0.5000), Hg at (0.5000, 0.5000, 0.1207) and Hg at (0.5000, 0.5000, 0.3794).



Entry 2:
Below is crystalline CdCoMo4 at its relaxed geometry, with properties calculated at the PBE level.

Its energy relative to the elements is 578 meV/atom. Its total DFT energy (no corrections) is -191.51 eV/cell. The calculation puts the density of states at the Fermi level at 26.1 states/eV per cell.

The space group is F-43m (No. 216) and the conventional cell measures 7.3813, 7.3813 and 7.3813 Å, with angles of 90.00, 90.00 and 90.00 degrees. Symmetry generates all atoms from Cd at (0.0000, 0.0000, 0.0000), Co at (0.2500, 0.2500, 0.2500) and Mo at (0.1250, 0.1250, 0.6250).



Entry 3:
Below is crystalline Pm3Sn2Ru3 at its relaxed geometry, with properties calculated at the PBE level.

Its energy relative to the elements is -330 meV/atom. Its total DFT energy (no corrections) is -158.16 eV/cell. The calculation puts the density of states at the Fermi level at 21.1 states/eV per cell.

The space group is R-3m (No. 166, hexagonal axes) and the conventional cell measures 5.4784, 5.4784 and 20.9778 Å, with angles of 90.00, 90.00 and 120.00 degrees. Symmetry generates all atoms from Pm at (0.0000, 0.0000, 0.0000), Pm at (0.0000, 0.0000, 0.4247), Sn at (0.0000, 0.0000, 0.2743) and Ru at (0.0000, 0.5000, 0.5000).



Entry 4:
Below is crystalline SiIr2Pb at its relaxed geometry, with properties calculated at the PBE level.

Its total DFT energy (no corrections) is -26.16 eV/cell. For the distance to the lowest polymorph of the same formula, the calculation gives 0.293 eV/atom. The value obtained for the formation energy without anion corrections is 0.17 eV/atom. The calculation puts the density of states at the Fermi level at 3.5 states/eV per cell.

The space group is P4mm (No. 99) and the conventional cell measures 3.3810, 3.3810 and 6.2580 Å, with angles of 90.00, 90.00 and 90.00 degrees. Symmetry generates all atoms from Si at (0.0000, 0.0000, 0.0000), Ir at (0.0000, 0.0000, 0.3807), Ir at (0.5000, 0.5000, 0.0785) and Pb at (0.5000, 0.5000, 0.6220).



Entry 5:
Below is crystalline Pr3Pb2 at its relaxed geometry, with properties calculated at the PBE level.

Its energy relative to the elements is -439 meV/atom. Its total DFT energy (no corrections) is -95.79 eV/cell. The calculation puts the density of states at the Fermi level at 17.6 states/eV per cell.

The space group is I4_1/amd (No. 141, origin choice 2) and the conventional cell measures 6.4330, 6.4330 and 16.2394 Å, with angles of 90.00, 90.00 and 90.00 degrees. Symmetry generates all atoms from Pr at (0.0000, 0.0000, 0.0000), Pr at (0.0000, 0.2500, 0.3750) and Pb at (0.0000, 0.2500, 0.1767).



Entry 6:
Below is crystalline FeReSe at its relaxed geometry, with properties calculated at the PBE level.

Its total DFT energy (no corrections) is -45.22 eV/cell. For the distance to the lowest polymorph of the same formula, the calculation gives 0.205 eV/atom. The value obtained for the formation energy without anion corrections is 0.59 eV/atom. The calculation puts the density of states at the Fermi level at 6.9 states/eV per cell.

The space group is Imm2 (No. 44) and the conventional cell measures 2.9899, 3.8311 and 7.5682 Å, with angles of 90.00, 90.00 and 90.00 degrees. Symmetry generates all atoms from Fe at (0.0000, 0.0000, 0.0000), Re at (0.0000, 0.0000, 0.6514) and Se at (0.0000, 0.0000, 0.3164).



Entry 7:
Below is crystalline MnZn2Br at its relaxed geometry, with properties calculated at the PBE level.

Its total DFT energy (no corrections) is -36.56 eV/cell. For the distance to the lowest polymorph of the same formula, the calculation gives 1.017 eV/atom. The value obtained for the formation energy without anion corrections is 1.06 eV/atom. The calculation puts the density of states at the Fermi level at 17.4 states/eV per cell.

The space group is Fm-3m (No. 225) and the conventional cell measures 6.4767, 6.4767 and 6.4767 Å, with angles of 90.00, 90.00 and 90.00 degrees. Symmetry generates all atoms from Mn at (0.0000, 0.0000, 0.0000), Zn at (0.2500, 0.2500, 0.2500) and Br at (0.0000, 0.0000, 0.5000).



Entry 8:
Below is crystalline Zr2Sc2Cr at its relaxed geometry, with properties calculated at the PBE level.

Its energy relative to the elements is 318 meV/atom. Its total DFT energy (no corrections) is -75.59 eV/cell. The calculation puts the density of states at the Fermi level at 15.4 states/eV per cell.

The space group is P4/mbm (No. 127) and the conventional cell measures 6.6776, 6.6776 and 4.9383 Å, with angles of 90.00, 90.00 and 90.00 degrees. Symmetry generates all atoms from Zr at (0.1509, 0.3491, 0.0000), Sc at (0.1654, 0.6654, 0.5000) and Cr at (0.0000, 0.0000, 0.0000).